Below is a relaxed DyAlO3 crystal, with properties calculated at the PBE level.

Calculated values
Spin magnetization = 0.000 μB per atom
Total DFT energy (no corrections) = -7.727 eV per atom
Symmetry = R-3c (167)

Geometry as POSCAR:
```
DyAlO3
1.0
2.725 1.574 5.101
-2.725 1.574 5.101
0.000 -3.147 5.101
Dy Al O
2 2 6
Cartesian
0.000 0.000 0.000 Dy
0.000 0.000 7.651 Dy
0.000 0.000 3.825 Al
0.000 0.000 11.476 Al
-1.865 -0.084 6.376 O
-0.860 -1.657 8.926 O
1.005 -1.574 6.376 O
-1.005 1.574 8.926 O
0.860 1.657 6.376 O
1.865 0.084 8.926 O
```


Below is a relaxed LaDyW2C3 crystal, with properties calculated at the PBE level.

Calculated values
Spin magnetization = 0.001 μB per atom
Total DFT energy (no corrections) = -9.247 eV per atom
Symmetry = Cm (8)

Geometry as POSCAR:
```
LaDyW2C3
1.0
12.177 0.000 0.000
0.000 3.385 0.000
-2.454 0.000 5.337
La Dy W C
2 2 4 6
Cartesian
0.000 0.000 0.000 La
6.089 1.692 0.000 La
2.553 1.692 1.982 Dy
8.642 0.000 1.982 Dy
-0.599 1.692 2.780 W
0.769 0.000 4.672 W
5.490 0.000 2.780 W
6.858 1.692 4.672 W
0.645 0.000 2.500 C
-0.440 1.692 4.936 C
4.282 0.000 1.122 C
6.734 1.692 2.500 C
5.648 0.000 4.936 C
10.371 1.692 1.122 C
```


Question: Which of these has the highest spin magnetization?
Answer: LaDyW2C3